Entry A
A relaxed structure of ZrTlTc2. Source: the Alexandria database, functional PBEsol.

Cell: 3.355 3.355 6.158 Å, 90.00 90.00 90.00°
Fractional positions:
Zr1 0.000 0.000 0.000
Tl1 0.000 0.000 0.500
Tc1 0.500 0.500 0.238
Tc2 0.500 0.500 0.762

Results
SG: P4/mmm (123)
Total magnetic moment in μB per cell: 0.03



Entry B
A relaxed structure of ZrTlTc2. Source: the Alexandria database, functional PBEsol.

Cell: 5.433 5.433 2.875 Å, 103.84 103.84 114.67°
Fractional positions:
Zr1 0.000 0.000 0.000
Tl1 0.500 0.500 0.000
Tc1 0.000 0.500 0.500
Tc2 0.500 0.000 0.500

Results
SG: C2/m (12)
Total magnetic moment in μB per cell: 0.00



Energies relative to the most stable structure are entry A 0; entry B 88, reported in meV per atom.